[1]
Below is a geometry-optimized LaAl2GaFe structure, with properties calculated at the PBE-GGA level.

Geometry as POSCAR:
```
LaAl2GaFe
1.0
4.5749 0.0000 0.0000
0.0000 4.5749 0.0000
0.0000 0.0000 4.6169
Al Ga La Fe
2 1 1 1
Direct
0.0000 0.5000 0.0000
0.5000 0.0000 0.0000
0.0000 0.0000 0.5000
0.5000 0.5000 0.5000
0.0000 0.0000 0.0000
```

* crystal system: tetragonal
* ΔE_f: -0.4274 eV/atom
* symmetry: No. 123

[2]
Below is a geometry-optimized AlGaFeMo2 structure, with properties calculated at the PBE-GGA level.

Geometry as POSCAR:
```
AlGaFeMo2
1.0
4.4810 0.0000 0.0000
0.0000 4.3844 0.0000
0.0000 0.0000 4.4810
Al Ga Fe Mo
1 1 1 2
Direct
0.5000 0.5000 0.5000
0.0000 0.5000 0.0000
0.0000 0.0000 0.0000
0.5000 0.0000 0.0000
0.0000 0.0000 0.5000
```

* crystal system: tetragonal
* ΔE_f: 0.7994 eV/atom
* symmetry: No. 123

[3]
Below is a geometry-optimized AlGaFeN2 structure, with properties calculated at the PBE-GGA level.

Geometry as POSCAR:
```
AlGaFeN2
1.0
3.5666 0.0000 0.0000
0.0000 5.1333 0.0000
0.0000 0.0000 3.5666
Fe Al N Ga
1 1 2 1
Direct
0.5000 0.5000 0.5000
0.0000 0.0000 0.0000
0.0000 0.0000 0.5000
0.5000 0.0000 0.0000
0.0000 0.5000 0.0000
```

* crystal system: tetragonal
* formation energy without anion corrections: 115 kJ per mole of atoms
* symmetry: No. 123

[4]
Below is a geometry-optimized NaAlGa2Fe structure, with properties calculated at the PBE-GGA level.

Geometry as POSCAR:
```
NaAlGa2Fe
1.0
-4.4764 0.4108 1.0248
-1.0451 -0.1967 -4.4862
-0.3516 -4.5316 0.2806
Ga Na Al Fe
2 1 1 1
Direct
0.5000 0.0000 0.0000
0.0000 0.5000 0.0000
0.5000 0.5000 0.5000
0.0000 0.0000 0.5000
0.0000 0.0000 0.0000
```

* crystal system: tetragonal
* ΔE_f: -0.1284 eV/atom
* symmetry: No. 123